(1)
# Pu4PtSeS2

Crystalline Pu4PtSeS2 at its relaxed geometry (PBE-GGA, Alexandria via LeMat-Bulk).

abc: 4.025 7.085 7.098
angles: 71.16 90.00 90.00
Site moments in Bohr magnetons follow the coordinates.
Atoms (fractional coordinates):
Pu 0.000 0.759 0.741  5.49
Pu 0.000 0.241 0.259  5.49
Pu 0.500 0.758 0.252  5.45
Pu 0.500 0.242 0.748  5.45
Pt 0.000 0.500 0.500  -0.06
Se 0.500 0.500 0.000  -0.09
S 0.000 0.000 0.000  -0.12
S 0.500 0.000 0.500  -0.12

Summary:
* raw formation energy: -1.36 eV/atom
* mass density: 11.39 g/cm3
* total energy: -86.01 eV per formula unit

(2)
# Pu4PtSe2S

Crystalline Pu4PtSe2S at its relaxed geometry (PBE-GGA, Alexandria via LeMat-Bulk).

abc: 4.029 7.197 7.176
angles: 70.71 90.00 90.00
Site moments in Bohr magnetons follow the coordinates.
Atoms (fractional coordinates):
Pu 0.000 0.738 0.752  -5.21
Pu 0.000 0.262 0.248  -5.21
Pu 0.500 0.737 0.258  5.26
Pu 0.500 0.263 0.742  5.26
Pt 0.500 0.500 0.000  0.06
Se 0.000 0.000 0.000  -0.05
Se 0.500 0.000 0.500  0.04
S 0.000 0.500 0.500  -0.06

Summary:
* raw formation energy: -1.27 eV/atom
* mass density: 11.51 g/cm3
* total energy: -84.66 eV per formula unit

(3)
# Pu2SbPt6

Crystalline Pu2SbPt6 at its relaxed geometry (PBE-GGA, Alexandria via LeMat-Bulk).

abc: 5.694 5.668 6.459
angles: 78.61 90.00 120.15
Site moments in Bohr magnetons follow the coordinates.
Atoms (fractional coordinates):
Pu 0.645 0.289 0.143  5.10
Pu 0.355 0.711 0.857  5.10
Sb 0.000 0.000 0.000  -0.02
Pt 0.875 0.270 0.677  -0.04
Pt 0.875 0.749 0.686  -0.04
Pt 0.396 0.270 0.677  -0.04
Pt 0.125 0.730 0.323  -0.04
Pt 0.125 0.251 0.314  -0.04
Pt 0.604 0.730 0.323  -0.04

Summary:
* raw formation energy: -0.63 eV/atom
* mass density: 16.85 g/cm3
* total energy: -74.70 eV per formula unit

Number 1: total magnetization 23.5 μB/f.u.. Number 2: total magnetization 0.1 μB/f.u.. Number 3: total magnetization 10.4 μB/f.u..